Entry 1:
Compound: SmBO
Source: Alexandria
Functional: GGA-PBE
Structure: optimized geometry

Calculated values
Space-group type   No. 166
E above lowest polymorph   101 meV/atom
Uncorrected formation energy   -1708 meV per atom
Total magnetization   0.00 μB per formula unit

a b c (Å): 3.5871 3.5871 7.9704
angles (deg): 77.00 77.00 60.00
Positions (direct):
Sm: 0.5943 0.5943 0.2171
Sm: 0.4057 0.4057 0.7829
B: 0.8344 0.8344 0.4968
B: 0.1656 0.1656 0.5032
O: 0.7049 0.7049 0.8854
O: 0.2951 0.2951 0.1146

---

Entry 2:
Compound: Sr2Tl2As
Source: Alexandria
Functional: GGA-PBE
Structure: optimized geometry

Calculated values
Space-group type   No. 127
Formation energy from the elements   -1.84 eV/f.u.
E above lowest polymorph   0 meV/atom
Total magnetization   0.00 μB per formula unit

a b c (Å): 8.0111 8.0111 5.0344
angles (deg): 90.00 90.00 90.00
Positions (direct):
Sr: 0.1728 0.6728 0.5000
Sr: 0.6728 0.8272 0.5000
Sr: 0.8272 0.3272 0.5000
Sr: 0.3272 0.1728 0.5000
Tl: 0.3647 0.8647 0.0000
Tl: 0.8647 0.6353 0.0000
Tl: 0.6353 0.1353 0.0000
Tl: 0.1353 0.3647 0.0000
As: 0.0000 0.0000 0.0000
As: 0.5000 0.5000 0.0000

---

Entry 3:
Compound: Ac2CdCuAu6
Source: Alexandria
Functional: GGA-PBE
Structure: optimized geometry

Calculated values
Space-group type   No. 2
Formation energy from the elements   -4.46 eV/f.u.
Total magnetization   0.00 μB per formula unit

a b c (Å): 6.9866 7.5455 6.9903
angles (deg): 78.69 46.20 95.09
Positions (direct):
Ac: 0.7324 0.2032 0.5308
Ac: 0.2676 0.7968 0.4692
Cd: 0.5000 0.5000 0.0000
Cu: 0.0000 0.0000 0.0000
Au: 0.2251 0.2156 0.5120
Au: 0.7607 0.5959 0.1629
Au: 0.2746 0.7851 0.9875
Au: 0.7254 0.2149 0.0125
Au: 0.2393 0.4041 0.8371
Au: 0.7749 0.7844 0.4880

---

D(E_F) for the records above, in order: 0.69, 6.09, 4.29 states/eV per cell